First-principles (PBE) data for Ta2SnN2 after structural relaxation, as listed in the Alexandria database.

raw formation energy	0.271	eV per atom
magnetization	0.000	μB/cell
energy above the most stable polymorph in this dataset	752	meV/atom

Lattice parameters (Å, degrees): 7.041 7.041 2.900 90.00 90.00 90.00
Positions (direct):
1 Ta 0.134 0.366 0.000
2 Ta 0.366 0.866 0.000
3 Ta 0.634 0.134 0.000
4 Ta 0.866 0.634 0.000
5 Sn 0.000 0.000 0.000
6 Sn 0.500 0.500 0.000
7 N 0.115 0.615 0.500
8 N 0.385 0.115 0.500
9 N 0.615 0.885 0.500
10 N 0.885 0.385 0.500

***

First-principles (PBE) data for PuHfPb after structural relaxation, as listed in the Alexandria database.

E_form	0.153	eV per atom
magnetization	2.490	μB/cell
energy above the most stable polymorph in this dataset	86	meV/atom

Lattice parameters (Å, degrees): 4.622 3.432 8.926 90.00 98.05 90.00
Positions (direct):
1 Pu 0.168 0.250 0.026
2 Pu 0.832 0.750 0.974
3 Hf 0.270 0.750 0.389
4 Hf 0.730 0.250 0.611
5 Pb 0.261 0.750 0.727
6 Pb 0.739 0.250 0.273

***

First-principles (PBE) data for SbTe2W after structural relaxation, as listed in the Alexandria database.

raw formation energy	0.490	eV per atom
magnetization	0.001	μB/cell

Lattice parameters (Å, degrees): 3.552 5.137 11.135 90.00 90.00 90.00
Positions (direct):
1 Sb 0.000 0.000 0.000
2 Sb 0.500 0.500 0.000
3 Te 0.000 0.000 0.611
4 Te 0.000 0.500 0.307
5 Te 0.500 0.000 0.307
6 Te 0.500 0.500 0.611
7 W 0.000 0.500 0.804
8 W 0.500 0.000 0.804

***

First-principles (PBE) data for NaPd2CI after structural relaxation, as listed in the Alexandria database.

raw formation energy	0.178	eV per atom
magnetization	0.000	μB/cell

Lattice parameters (Å, degrees): 4.044 4.044 6.977 90.00 90.00 90.00
Positions (direct):
1 Na 0.000 0.000 0.000
2 Pd 0.000 0.500 0.500
3 Pd 0.500 0.000 0.500
4 C 0.500 0.500 0.500
5 I 0.500 0.500 0.000

***

First-principles (PBE) data for Ti2NbHgO after structural relaxation, as listed in the Alexandria database.

raw formation energy	-0.913	eV per atom
magnetization	0.000	μB/cell

Lattice parameters (Å, degrees): 4.165 4.165 4.364 90.00 90.00 90.00
Positions (direct):
1 Ti 0.000 0.500 0.000
2 Ti 0.500 0.000 0.000
3 Nb 0.000 0.000 0.500
4 Hg 0.500 0.500 0.500
5 O 0.000 0.000 0.000

***

First-principles (PBE) data for Li7Pd3Au after structural relaxation, as listed in the Alexandria database.

E_form	-0.298	eV per atom
magnetization	0.000	μB/cell
energy above the most stable polymorph in this dataset	86	meV/atom

Lattice parameters (Å, degrees): 6.529 6.529 4.658 110.77 110.77 88.20
Positions (direct):
1 Li 0.000 0.000 0.000
2 Li 0.103 0.562 0.332
3 Li 0.322 0.322 0.823
4 Li 0.438 0.897 0.668
5 Li 0.562 0.103 0.332
6 Li 0.678 0.678 0.177
7 Li 0.897 0.438 0.668
8 Pd 0.274 0.726 0.000
9 Pd 0.500 0.500 0.500
10 Pd 0.726 0.274 0.000
11 Au 0.000 0.000 0.500

***

First-principles (PBE) data for Tb4ErSe5 after structural relaxation, as listed in the Alexandria database.

raw formation energy	-1.755	eV per atom
magnetization	0.000	μB/cell

Lattice parameters (Å, degrees): 14.781 14.781 14.781 164.15 164.15 22.49
Positions (direct):
1 Tb 0.102 0.102 0.000
2 Tb 0.304 0.304 0.000
3 Tb 0.696 0.696 0.000
4 Tb 0.898 0.898 0.000
5 Er 0.500 0.500 0.000
6 Se 0.000 0.000 0.000
7 Se 0.202 0.202 0.000
8 Se 0.403 0.403 0.000
9 Se 0.597 0.597 0.000
10 Se 0.798 0.798 0.000

***

First-principles (PBE) data for Hf2AsO after structural relaxation, as listed in the Alexandria database.

raw formation energy	-1.007	eV per atom
magnetization	0.000	μB/cell
energy above the most stable polymorph in this dataset	637	meV/atom

Lattice parameters (Å, degrees): 6.288 6.288 6.288 90.00 90.00 90.00
Positions (direct):
1 Hf 0.250 0.250 0.250
2 Hf 0.250 0.250 0.750
3 Hf 0.250 0.750 0.250
4 Hf 0.250 0.750 0.750
5 Hf 0.750 0.250 0.250
6 Hf 0.750 0.250 0.750
7 Hf 0.750 0.750 0.250
8 Hf 0.750 0.750 0.750
9 As 0.000 0.000 0.000
10 As 0.000 0.500 0.500
11 As 0.500 0.000 0.500
12 As 0.500 0.500 0.000
13 O 0.000 0.000 0.500
14 O 0.000 0.500 0.000
15 O 0.500 0.000 0.000
16 O 0.500 0.500 0.500